Entry 1:
# RePI2O PBE relaxed
# **Polymorph energy (0 for the lowest one)**: 0 kJ/mol of formula units
# **VASP energy**: -4.82 eV per atom
data_RePI2O
_chemical_formula_sum 'Re1 P1 I2 O1'
_space_group_name_H-M_alt 'P 4/m m m'
_space_group_IT_number 123
_space_group_name_Hall '-P 4 2'
_cell_length_a 5.5020
_cell_length_b 5.5020
_cell_length_c 3.7497
_cell_angle_alpha 90.00
_cell_angle_beta 90.00
_cell_angle_gamma 90.00
loop_
_atom_site_label
_atom_site_fract_x
_atom_site_fract_y
_atom_site_fract_z
Re1 0.0000 0.0000 0.0000
P1 0.5000 0.5000 0.5000
I1 0.0000 0.5000 0.0000
O1 0.0000 0.0000 0.5000

---

Entry 2:
# PRhI2O PBE relaxed
# **Polymorph energy (0 for the lowest one)**: 0 kJ/mol of formula units
# **VASP energy**: -3.91 eV per atom
data_PRhI2O
_chemical_formula_sum 'P1 Rh1 I2 O1'
_space_group_name_H-M_alt 'P 4/m m m'
_space_group_IT_number 123
_space_group_name_Hall '-P 4 2'
_cell_length_a 5.4192
_cell_length_b 5.4192
_cell_length_c 3.4592
_cell_angle_alpha 90.00
_cell_angle_beta 90.00
_cell_angle_gamma 90.00
loop_
_atom_site_label
_atom_site_fract_x
_atom_site_fract_y
_atom_site_fract_z
P1 0.0000 0.0000 0.0000
Rh1 0.5000 0.5000 0.5000
I1 0.0000 0.5000 0.0000
O1 0.0000 0.0000 0.5000

---

Entry 3:
# P2RhIO PBE relaxed
# **Polymorph energy (0 for the lowest one)**: 426 kJ/mol of formula units
# **VASP energy**: -3.72 eV per atom
data_P2RhIO
_chemical_formula_sum 'P2 Rh1 I1 O1'
_space_group_name_H-M_alt 'P 4/m m m'
_space_group_IT_number 123
_space_group_name_Hall '-P 4 2'
_cell_length_a 5.0737
_cell_length_b 5.0737
_cell_length_c 3.8018
_cell_angle_alpha 90.00
_cell_angle_beta 90.00
_cell_angle_gamma 90.00
loop_
_atom_site_label
_atom_site_fract_x
_atom_site_fract_y
_atom_site_fract_z
P1 0.0000 0.5000 0.0000
Rh1 0.0000 0.0000 0.5000
I1 0.5000 0.5000 0.0000
O1 0.5000 0.5000 0.5000

---

Entry 4:
# P2RhIO PBE relaxed
# **Polymorph energy (0 for the lowest one)**: 0 kJ/mol of formula units
# **VASP energy**: -4.61 eV per atom
data_P2RhIO
_chemical_formula_sum 'P2 Rh1 I1 O1'
_space_group_name_H-M_alt 'P 4/m m m'
_space_group_IT_number 123
_space_group_name_Hall '-P 4 2'
_cell_length_a 4.9006
_cell_length_b 4.9006
_cell_length_c 3.7903
_cell_angle_alpha 90.00
_cell_angle_beta 90.00
_cell_angle_gamma 90.00
loop_
_atom_site_label
_atom_site_fract_x
_atom_site_fract_y
_atom_site_fract_z
P1 0.0000 0.5000 0.0000
Rh1 0.0000 0.0000 0.0000
I1 0.5000 0.5000 0.5000
O1 0.0000 0.0000 0.5000

---

Entry 5:
# PRhI2O PBE relaxed
# **Polymorph energy (0 for the lowest one)**: 51 kJ/mol of formula units
# **VASP energy**: -3.80 eV per atom
data_PRhI2O
_chemical_formula_sum 'P1 Rh1 I2 O1'
_space_group_name_H-M_alt 'P 4/m m m'
_space_group_IT_number 123
_space_group_name_Hall '-P 4 2'
_cell_length_a 5.5481
_cell_length_b 5.5481
_cell_length_c 3.7267
_cell_angle_alpha 90.00
_cell_angle_beta 90.00
_cell_angle_gamma 90.00
loop_
_atom_site_label
_atom_site_fract_x
_atom_site_fract_y
_atom_site_fract_z
P1 0.0000 0.0000 0.0000
Rh1 0.5000 0.5000 0.5000
I1 0.0000 0.5000 0.5000
O1 0.5000 0.5000 0.0000

---

Entry 6:
# PRuIO2 PBE relaxed
# **Polymorph energy (0 for the lowest one)**: 111 kJ/mol of formula units
# **VASP energy**: -5.20 eV per atom
data_PRuIO2
_chemical_formula_sum 'P1 Ru1 I1 O2'
_space_group_name_H-M_alt 'P 4/m m m'
_space_group_IT_number 123
_space_group_name_Hall '-P 4 2'
_cell_length_a 3.7589
_cell_length_b 3.7589
_cell_length_c 8.0205
_cell_angle_alpha 90.00
_cell_angle_beta 90.00
_cell_angle_gamma 90.00
loop_
_atom_site_label
_atom_site_fract_x
_atom_site_fract_y
_atom_site_fract_z
P1 0.0000 0.0000 0.0000
Ru1 0.5000 0.5000 0.5000
I1 0.5000 0.5000 0.0000
O1 0.0000 0.5000 0.5000